Below is Mn2Pt8W after structural relaxation, with properties calculated at the PBE-GGA level.

Values from the calculation:
VASP energy   -7.404 eV/atom
Symmetry   Cmmm (65)
Volume   15.9 Å³/atom
Formation enthalpy at 0 K   -0.166 eV per atom

a b c (Å): 6.706 6.706 4.034
angles (deg): 90.00 90.00 105.70
Element x y z (fractional)
Mn  0.121  0.879  0.000
Mn  0.879  0.121  0.000
Pt  0.165  0.165  0.500
Pt  0.196  0.457  0.000
Pt  0.253  0.747  0.500
Pt  0.457  0.196  0.000
Pt  0.543  0.804  0.000
Pt  0.747  0.253  0.500
Pt  0.804  0.543  0.000
Pt  0.835  0.835  0.500
W  0.500  0.500  0.500

***

Below is MnPtW after structural relaxation, with properties calculated at the PBE-GGA level.

Values from the calculation:
Polymorph energy (0 for the lowest one)   0.200 eV per atom
VASP energy   -9.284 eV/atom
Symmetry   I4/mmm (139)
Volume   15.0 Å³/atom
Formation enthalpy at 0 K   0.104 eV per atom

a b c (Å): 6.519 6.519 6.519
angles (deg): 145.20 145.20 50.04
Element x y z (fractional)
Mn  0.000  0.500  0.500
Mn  0.500  0.000  0.500
Pt  0.141  0.141  0.000
Pt  0.859  0.859  0.000
W  0.357  0.357  0.000
W  0.643  0.643  0.000

***

Below is MnPtW2 after structural relaxation, with properties calculated at the PBE-GGA level.

Values from the calculation:
Polymorph energy (0 for the lowest one)   0.085 eV per atom
VASP energy   -10.258 eV/atom
Symmetry   P4mm (99)
Volume   15.2 Å³/atom
Formation enthalpy at 0 K   0.021 eV per atom

a b c (Å): 3.222 3.222 5.864
angles (deg): 90.00 90.00 90.00
Element x y z (fractional)
Mn  0.000  0.000  0.000
Pt  0.500  0.500  0.245
W  0.000  0.000  0.510
W  0.500  0.500  0.768

***

Below is MnPtW2 after structural relaxation, with properties calculated at the PBE-GGA level.

Values from the calculation:
Polymorph energy (0 for the lowest one)   0.239 eV per atom
VASP energy   -10.104 eV/atom
Symmetry   R-3m (166)
Volume   14.8 Å³/atom
Formation enthalpy at 0 K   0.175 eV per atom

a b c (Å): 9.076 9.076 9.076
angles (deg): 17.56 17.56 17.56
Element x y z (fractional)
Mn  0.000  0.000  0.000
Pt  0.500  0.500  0.500
W  0.255  0.255  0.255
W  0.745  0.745  0.745

***

Below is MnPtW2 after structural relaxation, with properties calculated at the PBE-GGA level.

Values from the calculation:
Polymorph energy (0 for the lowest one)   0.006 eV per atom
VASP energy   -10.336 eV/atom
Symmetry   I4/mmm (139)
Volume   14.8 Å³/atom
Formation enthalpy at 0 K   -0.057 eV per atom

a b c (Å): 4.834 4.834 4.834
angles (deg): 133.10 133.10 68.50
Element x y z (fractional)
Mn  0.000  0.000  0.000
Pt  0.500  0.500  0.000
W  0.250  0.750  0.500
W  0.750  0.250  0.500

***

Below is Mn2PtW after structural relaxation, with properties calculated at the PBE-GGA level.

Values from the calculation:
Polymorph energy (0 for the lowest one)   0.268 eV per atom
VASP energy   -9.167 eV/atom
Symmetry   Fm-3m (225)
Volume   13.4 Å³/atom
Formation enthalpy at 0 K   0.166 eV per atom

a b c (Å): 4.233 4.233 4.233
angles (deg): 60.00 60.00 60.00
Element x y z (fractional)
Mn  0.250  0.250  0.250
Mn  0.750  0.750  0.750
Pt  0.000  0.000  0.000
W  0.500  0.500  0.500

***

Below is MnPtW2 after structural relaxation, with properties calculated at the PBE-GGA level.

Values from the calculation:
Polymorph energy (0 for the lowest one)   0.178 eV per atom
VASP energy   -10.164 eV/atom
Symmetry   F-43m (216)
Volume   15.3 Å³/atom
Formation enthalpy at 0 K   0.115 eV per atom

a b c (Å): 4.427 4.427 4.427
angles (deg): 60.00 60.00 60.00
Element x y z (fractional)
Mn  0.000  0.000  0.000
Pt  0.250  0.250  0.250
W  0.500  0.500  0.500
W  0.750  0.750  0.750

***

Below is YMn2Pt after structural relaxation, with properties calculated at the PBE-GGA level.

Values from the calculation:
Polymorph energy (0 for the lowest one)   0.262 eV per atom
VASP energy   -7.764 eV/atom
Symmetry   P4/mmm (123)
Volume   18.6 Å³/atom
Formation enthalpy at 0 K   -0.053 eV per atom

a b c (Å): 3.333 3.333 6.704
angles (deg): 90.00 90.00 90.00
Element x y z (fractional)
Y  0.000  0.000  0.000
Mn  0.500  0.500  0.297
Mn  0.500  0.500  0.703
Pt  0.000  0.000  0.500

***

Below is Y3MnPt12 after structural relaxation, with properties calculated at the PBE-GGA level.

Values from the calculation:
VASP energy   -7.136 eV/atom
Symmetry   P4/mmm (123)
Volume   17.0 Å³/atom
Formation enthalpy at 0 K   -0.821 eV per atom

a b c (Å): 4.092 4.092 16.243
angles (deg): 90.00 90.00 90.00
Element x y z (fractional)
Y  0.000  0.000  0.000
Y  0.000  0.000  0.255
Y  0.000  0.000  0.745
Mn  0.000  0.000  0.500
Pt  0.000  0.500  0.128
Pt  0.000  0.500  0.385
Pt  0.000  0.500  0.615
Pt  0.000  0.500  0.872
Pt  0.500  0.000  0.128
Pt  0.500  0.000  0.385
Pt  0.500  0.000  0.615
Pt  0.500  0.000  0.872
Pt  0.500  0.500  0.000
Pt  0.500  0.500  0.257
Pt  0.500  0.500  0.500
Pt  0.500  0.500  0.743

***

Below is YMn2Pt after structural relaxation, with properties calculated at the PBE-GGA level.

Values from the calculation:
Polymorph energy (0 for the lowest one)   0.000 eV per atom
VASP energy   -8.026 eV/atom
Symmetry   R3m (160)
Volume   19.1 Å³/atom
Formation enthalpy at 0 K   -0.315 eV per atom

a b c (Å): 5.467 5.467 5.467
angles (deg): 45.69 45.69 45.69
Element x y z (fractional)
Y  0.000  0.000  0.000
Mn  0.196  0.196  0.196
Mn  0.516  0.516  0.516
Pt  0.787  0.787  0.787

***

Below is YMnPt2 after structural relaxation, with properties calculated at the PBE-GGA level.

Values from the calculation:
VASP energy   -7.621 eV/atom
Symmetry   I-4m2 (119)
Volume   18.0 Å³/atom
Formation enthalpy at 0 K   -0.693 eV per atom

a b c (Å): 5.278 5.278 5.278
angles (deg): 135.26 135.26 65.13
Element x y z (fractional)
Y  0.000  0.000  0.000
Mn  0.250  0.750  0.500
Pt  0.500  0.500  0.000
Pt  0.750  0.250  0.500

***

Below is YMn2Pt after structural relaxation, with properties calculated at the PBE-GGA level.

Values from the calculation:
Polymorph energy (0 for the lowest one)   0.065 eV per atom
VASP energy   -7.961 eV/atom
Symmetry   P4mm (99)
Volume   17.8 Å³/atom
Formation enthalpy at 0 K   -0.250 eV per atom

a b c (Å): 3.288 3.288 6.601
angles (deg): 90.00 90.00 90.00
Element x y z (fractional)
Y  0.000  0.000  0.000
Mn  0.000  0.000  0.497
Mn  0.500  0.500  0.308
Pt  0.500  0.500  0.715

***

Below is YMnPt after structural relaxation, with properties calculated at the PBE-GGA level.

Values from the calculation:
VASP energy   -7.772 eV/atom
Symmetry   P-6m2 (187)
Volume   20.4 Å³/atom
Formation enthalpy at 0 K   -0.547 eV per atom

a b c (Å): 4.192 4.192 4.028
angles (deg): 90.00 90.00 120.00
Element x y z (fractional)
Y  0.000  0.000  0.000
Mn  0.667  0.333  0.500
Pt  0.333  0.667  0.500

***

Below is Y2MnPt9 after structural relaxation, with properties calculated at the PBE-GGA level.

Values from the calculation:
VASP energy   -7.136 eV/atom
Symmetry   P4/mmm (123)
Volume   16.8 Å³/atom
Formation enthalpy at 0 K   -0.764 eV per atom

a b c (Å): 4.074 4.074 12.144
angles (deg): 90.00 90.00 90.00
Element x y z (fractional)
Y  0.000  0.000  0.172
Y  0.000  0.000  0.828
Mn  0.000  0.000  0.500
Pt  0.000  0.500  0.000
Pt  0.000  0.500  0.346
Pt  0.000  0.500  0.654
Pt  0.500  0.000  0.000
Pt  0.500  0.000  0.346
Pt  0.500  0.000  0.654
Pt  0.500  0.500  0.173
Pt  0.500  0.500  0.500
Pt  0.500  0.500  0.827

***

Below is YMn2Pt9 after structural relaxation, with properties calculated at the PBE-GGA level.

Values from the calculation:
VASP energy   -7.148 eV/atom
Symmetry   P4/mmm (123)
Volume   16.0 Å³/atom
Formation enthalpy at 0 K   -0.551 eV per atom

a b c (Å): 4.008 4.008 11.952
angles (deg): 90.00 90.00 90.00
Element x y z (fractional)
Y  0.000  0.000  0.000
Mn  0.000  0.000  0.340
Mn  0.000  0.000  0.660
Pt  0.000  0.500  0.180
Pt  0.000  0.500  0.500
Pt  0.000  0.500  0.820
Pt  0.500  0.000  0.180
Pt  0.500  0.000  0.500
Pt  0.500  0.000  0.820
Pt  0.500  0.500  0.000
Pt  0.500  0.500  0.339
Pt  0.500  0.500  0.661

***

Below is YMn2Pt after structural relaxation, with properties calculated at the PBE-GGA level.

Values from the calculation:
Polymorph energy (0 for the lowest one)   0.274 eV per atom
VASP energy   -7.752 eV/atom
Symmetry   C2/m (12)
Volume   18.2 Å³/atom
Formation enthalpy at 0 K   -0.041 eV per atom

a b c (Å): 4.751 4.751 4.885
angles (deg): 106.60 106.60 43.99
Element x y z (fractional)
Y  0.000  0.000  0.000
Mn  0.230  0.230  0.605
Mn  0.770  0.770  0.395
Pt  0.500  0.500  0.500

***

Below is YMn2Pt after structural relaxation, with properties calculated at the PBE-GGA level.

Values from the calculation:
Polymorph energy (0 for the lowest one)   0.154 eV per atom
VASP energy   -7.872 eV/atom
Symmetry   Imm2 (44)
Volume   18.1 Å³/atom
Formation enthalpy at 0 K   -0.161 eV per atom

a b c (Å): 5.278 5.278 5.278
angles (deg): 138.40 131.33 65.91
Element x y z (fractional)
Y  0.000  0.000  0.000
Mn  0.266  0.766  0.500
Mn  0.534  0.534  0.000
Pt  0.750  0.250  0.500

***

Below is YMnPt after structural relaxation, with properties calculated at the PBE-GGA level.

Values from the calculation:
VASP energy   -7.662 eV/atom
Symmetry   F-43m (216)
Volume   23.1 Å³/atom
Formation enthalpy at 0 K   -0.438 eV per atom

a b c (Å): 4.609 4.609 4.609
angles (deg): 60.00 60.00 60.00
Element x y z (fractional)
Y  0.000  0.000  0.000
Mn  0.500  0.500  0.500
Pt  0.750  0.750  0.750

***

Below is YMn2Pt after structural relaxation, with properties calculated at the PBE-GGA level.

Values from the calculation:
Polymorph energy (0 for the lowest one)   0.102 eV per atom
VASP energy   -7.924 eV/atom
Symmetry   P4/mmm (123)
Volume   17.5 Å³/atom
Formation enthalpy at 0 K   -0.213 eV per atom

a b c (Å): 4.074 4.074 4.216
angles (deg): 90.00 90.00 90.00
Element x y z (fractional)
Y  0.000  0.000  0.000
Mn  0.000  0.500  0.500
Mn  0.500  0.000  0.500
Pt  0.500  0.500  0.000

***

Below is YMnPt2 after structural relaxation, with properties calculated at the PBE-GGA level.

Values from the calculation:
VASP energy   -7.422 eV/atom
Symmetry   F-43m (216)
Volume   17.9 Å³/atom
Formation enthalpy at 0 K   -0.493 eV per atom

a b c (Å): 4.659 4.659 4.659
angles (deg): 60.00 60.00 60.00
Element x y z (fractional)
Y  0.000  0.000  0.000
Mn  0.750  0.750  0.750
Pt  0.250  0.250  0.250
Pt  0.500  0.500  0.500

***

Below is Y3MnPt after structural relaxation, with properties calculated at the PBE-GGA level.

Values from the calculation:
Polymorph energy (0 for the lowest one)   0.000 eV per atom
VASP energy   -6.930 eV/atom
Symmetry   Pm-3m (221)
Volume   31.9 Å³/atom
Formation enthalpy at 0 K   -0.009 eV per atom

a b c (Å): 5.421 5.421 5.421
angles (deg): 90.00 90.00 90.00
Element x y z (fractional)
Y  0.000  0.000  0.500
Y  0.000  0.500  0.000
Y  0.500  0.000  0.000
Mn  0.500  0.500  0.500
Pt  0.000  0.000  0.000

***

Below is YMn2Pt after structural relaxation, with properties calculated at the PBE-GGA level.

Values from the calculation:
Polymorph energy (0 for the lowest one)   0.159 eV per atom
VASP energy   -7.867 eV/atom
Symmetry   I4/mmm (139)
Volume   17.9 Å³/atom
Formation enthalpy at 0 K   -0.156 eV per atom

a b c (Å): 5.210 5.210 5.210
angles (deg): 134.13 134.13 66.88
Element x y z (fractional)
Y  0.000  0.000  0.000
Mn  0.250  0.750  0.500
Mn  0.750  0.250  0.500
Pt  0.500  0.500  0.000

***

Below is YMn2Pt after structural relaxation, with properties calculated at the PBE-GGA level.

Values from the calculation:
Polymorph energy (0 for the lowest one)   0.204 eV per atom
VASP energy   -7.822 eV/atom
Symmetry   Fm-3m (225)
Volume   17.1 Å³/atom
Formation enthalpy at 0 K   -0.111 eV per atom

a b c (Å): 4.594 4.594 4.594
angles (deg): 60.00 60.00 60.00
Element x y z (fractional)
Y  0.000  0.000  0.000
Mn  0.250  0.250  0.250
Mn  0.750  0.750  0.750
Pt  0.500  0.500  0.500

***

Below is YMnPt2 after structural relaxation, with properties calculated at the PBE-GGA level.

Values from the calculation:
VASP energy   -6.961 eV/atom
Symmetry   I-42d (122)
Volume   22.3 Å³/atom
Formation enthalpy at 0 K   -0.032 eV per atom

a b c (Å): 8.418 8.418 8.418
angles (deg): 146.81 146.81 47.64
Element x y z (fractional)
Y  0.000  0.000  0.000
Y  0.750  0.250  0.500
Mn  0.250  0.750  0.500
Mn  0.500  0.500  0.000
Pt  0.250  0.625  0.125
Pt  0.375  0.500  0.625
Pt  0.500  0.125  0.875
Pt  0.875  0.750  0.375

***

Below is YMnPt2 after structural relaxation, with properties calculated at the PBE-GGA level.

Values from the calculation:
VASP energy   -7.499 eV/atom
Symmetry   P4mm (99)
Volume   19.3 Å³/atom
Formation enthalpy at 0 K   -0.570 eV per atom

a b c (Å): 3.653 3.653 5.778
angles (deg): 90.00 90.00 90.00
Element x y z (fractional)
Y  0.000  0.000  0.000
Mn  0.500  0.500  0.346
Pt  0.000  0.000  0.483
Pt  0.500  0.500  0.797

***

Below is YMn2Pt after structural relaxation, with properties calculated at the PBE-GGA level.

Values from the calculation:
Polymorph energy (0 for the lowest one)   0.361 eV per atom
VASP energy   -7.665 eV/atom
Symmetry   C2/m (12)
Volume   18.0 Å³/atom
Formation enthalpy at 0 K   0.046 eV per atom

a b c (Å): 5.534 5.534 3.023
angles (deg): 103.53 103.53 118.73
Element x y z (fractional)
Y  0.000  0.000  0.000
Mn  0.000  0.500  0.500
Mn  0.500  0.000  0.500
Pt  0.500  0.500  0.000

***

Below is YMnPt after structural relaxation, with properties calculated at the PBE-GGA level.

Values from the calculation:
VASP energy   -7.656 eV/atom
Symmetry   I4mm (107)
Volume   19.9 Å³/atom
Formation enthalpy at 0 K   -0.431 eV per atom

a b c (Å): 5.507 5.507 5.507
angles (deg): 143.13 143.13 53.13
Element x y z (fractional)
Y  0.000  0.000  0.000
Mn  0.298  0.298  0.000
Pt  0.678  0.678  0.000

***

Below is YMnPt2 after structural relaxation, with properties calculated at the PBE-GGA level.

Values from the calculation:
VASP energy   -6.901 eV/atom
Symmetry   R3m (160)
Volume   18.1 Å³/atom
Formation enthalpy at 0 K   0.028 eV per atom

a b c (Å): 9.391 9.391 9.391
angles (deg): 18.44 18.44 18.44
Element x y z (fractional)
Y  0.000  0.000  0.000
Mn  0.758  0.758  0.758
Pt  0.248  0.248  0.248
Pt  0.497  0.497  0.497